# 1
# Ca2TeS | Alexandria via LeMat-Bulk | GGA-PBE | optimized geometry
data_Ca2TeS
_chemical_formula_sum 'Ca4 Te2 S2'
_cell_length_a 7.605
_cell_length_b 4.161
_cell_length_c 7.457
_cell_angle_alpha 90.00
_cell_angle_beta 98.83
_cell_angle_gamma 90.00
_symmetry_space_group_name_H-M 'C 1 m 1'
_symmetry_Int_Tables_number 8
loop_
_symmetry_equiv_pos_as_xyz
'x,y,z'
'x,-y,z'
'x+1/2,y+1/2,z'
'x+1/2,-y+1/2,z'
loop_
_atom_site_label
_atom_site_fract_x
_atom_site_fract_y
_atom_site_fract_z
Ca1 0.000 0.000 0.000
Ca2 0.095 0.000 0.536
Te1 0.222 0.500 0.260
S1 0.447 0.000 0.742
# E above lowest polymorph	93	meV per atom



# 2
First-principles (GGA-PBE) data for a relaxed CaTeS2 crystal, as listed in Alexandria via LeMat-Bulk.

```
data_CaTeS2
_chemical_formula_sum 'Ca3 Te3 S6'
_cell_length_a 3.9621
_cell_length_b 3.9621
_cell_length_c 24.7707
_cell_angle_alpha 90.00
_cell_angle_beta 90.00
_cell_angle_gamma 120.00
_symmetry_space_group_name_H-M 'R -3 m'
_symmetry_Int_Tables_number 166
_symmetry_space_group_name_Hall '-R 3 2"'
loop_
_atom_site_label
_atom_site_fract_x
_atom_site_fract_y
_atom_site_fract_z
Ca1 0.0000 0.0000 0.0000
Te1 0.0000 0.0000 0.5000
S1 0.0000 0.0000 0.3983
```



# 3
# CaTe3S | Alexandria via LeMat-Bulk | GGA-PBE | optimized geometry
data_CaTe3S
_chemical_formula_sum 'Ca1 Te3 S1'
_cell_length_a 5.323
_cell_length_b 5.323
_cell_length_c 5.323
_cell_angle_alpha 90.00
_cell_angle_beta 90.00
_cell_angle_gamma 90.00
_symmetry_space_group_name_H-M 'P m -3 m'
_symmetry_Int_Tables_number 221
_symmetry_space_group_name_Hall '-P 4 2 3'
loop_
_atom_site_label
_atom_site_fract_x
_atom_site_fract_y
_atom_site_fract_z
Ca1 0.000 0.000 0.000
Te1 0.000 0.500 0.500
S1 0.500 0.500 0.500
# E above lowest polymorph	0	meV per atom



# 4
# Ca2TeS | Alexandria via LeMat-Bulk | GGA-PBE | optimized geometry
data_Ca2TeS
_chemical_formula_sum 'Ca6 Te3 S3'
_cell_length_a 4.2054
_cell_length_b 4.2054
_cell_length_c 21.9714
_cell_angle_alpha 90.00
_cell_angle_beta 90.00
_cell_angle_gamma 120.00
_symmetry_space_group_name_H-M 'R 3 m'
_symmetry_Int_Tables_number 160
_symmetry_space_group_name_Hall 'R 3 -2"'
loop_
_atom_site_label
_atom_site_fract_x
_atom_site_fract_y
_atom_site_fract_z
Ca1 0.0000 0.0000 0.0000
Ca2 0.0000 0.0000 0.1842
Te1 0.0000 0.0000 0.7599
S1 0.0000 0.0000 0.5900
# E above lowest polymorph	70	meV per atom



Number 1: ΔE_f (raw) -1.762 eV per atom. Number 2: ΔE_f (raw) -0.799 eV per atom. Number 3: ΔE_f (raw) -0.256 eV per atom. Number 4: ΔE_f (raw) -1.784 eV per atom.